1.
DFT (GGA-PBE) results for a relaxed CoIrRu2 crystal.

```
CoIrRu2
1.0
2.692 0.000 0.000
0.000 2.692 0.000
0.000 0.000 7.360
Co Ir Ru
1 1 2
Direct
0.000 0.000 0.000
0.000 0.000 0.500
0.500 0.500 0.237
0.500 0.500 0.763
```

Properties
Calculated formation energy ... 9.7 kJ/mol of atoms

=====

2.
DFT (GGA-PBE) results for a relaxed V3H12Ru5 crystal.

```
V3H12Ru5
1.0
-5.312 5.312 5.312
5.312 -5.312 5.312
5.312 5.312 -5.312
V H Ru
12 48 20
Direct
0.125 0.250 0.375
0.125 0.375 0.750
0.250 0.375 0.125
0.250 0.875 0.625
0.375 0.125 0.250
0.375 0.750 0.125
0.625 0.250 0.875
0.625 0.875 0.750
0.750 0.125 0.375
0.750 0.625 0.875
0.875 0.625 0.250
0.875 0.750 0.625
0.056 0.223 0.136
0.056 0.334 0.920
0.080 0.636 0.414
0.080 0.944 0.666
0.086 0.723 0.666
0.086 0.864 0.420
0.136 0.056 0.223
0.136 0.580 0.914
0.166 0.223 0.586
0.166 0.444 0.580
0.223 0.136 0.056
0.223 0.586 0.166
0.277 0.334 0.914
0.277 0.444 0.364
0.334 0.914 0.277
0.334 0.920 0.056
0.364 0.277 0.444
0.364 0.586 0.920
0.414 0.080 0.636
0.414 0.834 0.777
0.420 0.086 0.864
0.420 0.834 0.556
0.444 0.364 0.277
0.444 0.580 0.166
0.556 0.420 0.834
0.556 0.636 0.723
0.580 0.166 0.444
0.580 0.914 0.136
0.586 0.166 0.223
0.586 0.920 0.364
0.636 0.414 0.080
0.636 0.723 0.556
0.666 0.080 0.944
0.666 0.086 0.723
0.723 0.556 0.636
0.723 0.666 0.086
0.777 0.414 0.834
0.777 0.864 0.944
0.834 0.556 0.420
0.834 0.777 0.414
0.864 0.420 0.086
0.864 0.944 0.777
0.914 0.136 0.580
0.914 0.277 0.334
0.920 0.056 0.334
0.920 0.364 0.586
0.944 0.666 0.080
0.944 0.777 0.864
0.000 0.000 0.000
0.000 0.000 0.500
0.000 0.500 0.000
0.000 0.500 0.500
0.125 0.750 0.875
0.125 0.875 0.250
0.250 0.125 0.875
0.250 0.625 0.375
0.375 0.250 0.625
0.375 0.625 0.750
0.500 0.000 0.000
0.500 0.000 0.500
0.500 0.500 0.000
0.500 0.500 0.500
0.625 0.375 0.250
0.625 0.750 0.375
0.750 0.375 0.625
0.750 0.875 0.125
0.875 0.125 0.750
0.875 0.250 0.125
```

Properties
VASP energy ... -5.600 eV/atom

=====

D(E_F)? In order: 4.3 53.6 states/eV/cell.